No. 1
The following is a PBE calculation of an optimized crystal structure of YTc3Mo, from the Alexandria database.

Unit cell a=4.7130 b=4.7130 c=4.7130 alpha=90.00 beta=90.00 gamma=90.00
Closest atoms and distances in Å follow each position.
Positions (direct):
Y1 0.5000 0.5000 0.5000  12 Tc 3.33
Tc1 0.0000 0.0000 0.5000  2 Mo 2.36
Tc2 0.5000 0.0000 0.0000  2 Mo 2.36
Tc3 0.0000 0.5000 0.0000  2 Mo 2.36
Mo1 0.0000 0.0000 0.0000  6 Tc 2.36

Formation enthalpy at 0 K (eV per atom): 0.960
Uncorrected energy (eV/cell): -43.6
Distance to the lowest polymorph of the same formula (meV/atom): 0

---

No. 2
The following is a PBE calculation of an optimized crystal structure of In2SnPb4, from the Alexandria database.

Unit cell a=4.8538 b=7.1343 c=12.4511 alpha=90.00 beta=90.00 gamma=90.00
Closest atoms and distances in Å follow each position.
Positions (direct):
Pb1 0.5000 0.8126 0.0776  3 In 3.25-3.29, 3 Pb 3.30-3.44, 2 Sn 3.43
Pb2 0.0000 0.9131 0.8047  4 In 3.24-3.34, 2 Pb 3.44
Pb3 0.5000 0.1874 0.9224  3 In 3.25-3.29, 3 Pb 3.30-3.44, 2 Sn 3.43
Pb4 0.0000 0.5869 0.3047  4 In 3.24-3.34, 2 Pb 3.44
Pb5 0.5000 0.6874 0.5776  3 In 3.25-3.29, 3 Pb 3.30-3.44, 2 Sn 3.43
Pb6 0.0000 0.4131 0.6953  4 In 3.24-3.34, 2 Pb 3.44
Pb7 0.5000 0.3126 0.4224  3 In 3.25-3.29, 3 Pb 3.30-3.44, 2 Sn 3.43
Pb8 0.0000 0.0869 0.1953  4 In 3.24-3.34, 2 Pb 3.44
In1 0.5000 0.3819 0.1620  7 Pb 3.24-3.34, 2 Sn 3.27
In2 0.5000 0.1181 0.6620  7 Pb 3.24-3.34, 2 Sn 3.27
In3 0.5000 0.8819 0.3380  7 Pb 3.24-3.34, 2 Sn 3.27
In4 0.5000 0.6181 0.8380  7 Pb 3.24-3.34, 2 Sn 3.27
Sn1 0.0000 0.5000 0.0000  4 In 3.27, 4 Pb 3.43
Sn2 0.0000 0.0000 0.5000  4 In 3.27, 4 Pb 3.43

Formation enthalpy at 0 K (eV per atom): 0.082
Uncorrected energy (eV/cell): -47.5
Distance to the lowest polymorph of the same formula (meV/atom): 41

---

No. 3
The following is a PBE calculation of an optimized crystal structure of Ca2CuSnTe, from the Alexandria database.

Unit cell a=5.9279 b=5.9279 c=4.7292 alpha=90.00 beta=90.00 gamma=90.00
Closest atoms and distances in Å follow each position.
Positions (direct):
Ca1 0.0000 0.5000 0.0000  2 Te 2.96
Ca2 0.5000 0.0000 0.0000  2 Te 2.96
Sn1 0.5000 0.5000 0.5000  8 Ca 3.79, 4 Cu 4.19
Cu1 0.0000 0.0000 0.5000  2 Te 2.36
Te1 0.0000 0.0000 0.0000  2 Cu 2.36

Uncorrected energy (eV/cell): -16.5
Formation energy without anion corrections (kJ/mol of formula units): -124

---

No. 4
The following is a PBE calculation of an optimized crystal structure of Hg2Pb2F7, from the Alexandria database.

Unit cell a=8.2073 b=8.2720 c=8.2720 alpha=65.13 beta=60.26 gamma=60.26
Closest atoms and distances in Å follow each position.
Positions (direct):
F1 0.8915 0.3496 0.8674  3 Pb 2.47-2.60, 1 Hg 2.61
F2 0.1085 0.6504 0.1326  3 Pb 2.47-2.60, 1 Hg 2.61
F3 0.8485 0.8710 0.8900  1 Hg 2.31
F4 0.7500 0.1123 0.3877  2 Hg 2.28
F5 0.3906 0.8710 0.8900  1 Hg 2.31
F6 0.8906 0.3900 0.3710  1 Hg 2.31
F7 0.6515 0.6100 0.6290  1 Hg 2.31
F8 0.6094 0.1290 0.1100  1 Hg 2.31
F9 0.1515 0.1290 0.1100  1 Hg 2.31
F10 0.2500 0.8877 0.6123  2 Hg 2.28
F11 0.6085 0.6326 0.1504  3 Pb 2.47-2.60, 1 Hg 2.61
F12 0.3915 0.3674 0.8496  3 Pb 2.47-2.60, 1 Hg 2.61
F13 0.3485 0.3900 0.3710  1 Hg 2.31
F14 0.1094 0.6100 0.6290  1 Hg 2.31
Hg1 0.5000 0.0000 0.0000  4 F 2.31
Hg2 0.0000 0.0000 0.5000  2 F 2.28
Hg3 0.0000 0.5000 0.5000  4 F 2.31
Hg4 0.5000 0.0000 0.5000  2 F 2.28
Pb1 0.5000 0.5000 0.0000  8 F 2.60
Pb2 0.0000 0.5000 0.0000  8 F 2.60
Pb3 0.0000 0.0000 0.0000  6 F 2.47-2.60
Pb4 0.5000 0.5000 0.5000  6 F 2.47-2.60

Uncorrected energy (eV/cell): -81.5
Formation energy without anion corrections (kJ/mol of formula units): -1895
Distance to the lowest polymorph of the same formula (meV/atom): 0